Here is an optimized crystal structure of GaGePd from OQMD. Energies are from PBE.

Cell lengths 4.2769, 4.2769, 4.2769 Å; angles 60.00, 60.00, 60.00 degrees
Element x y z (fractional)
Ga (0.0000, 0.0000, 0.0000)
Ge (0.7500, 0.7500, 0.7500)
Pd (0.2500, 0.2500, 0.2500)

space group: F-43m
offset from the most stable computed form: 243 meV/atom